Record 1
DFT (GGA-PBE) results for crystalline LaTb3Pu2Te6 at its relaxed geometry.

Lattice parameters (Å, degrees): 4.4064 8.8978 9.9163 103.30 102.84 90.00
With the nearest neighbours (Å) after each atom.
Fractional positions:
La 0.5000 0.0000 0.0000  6 Te 3.20-3.21
Pu 0.8331 0.6662 0.6662  6 Te 3.14-3.15
Pu 0.1669 0.3338 0.3338  6 Te 3.14-3.15
Tb 0.1647 0.8329 0.3295  6 Te 3.09-3.12
Te 0.0000 0.2601 0.9999  3 Tb 3.07-3.10, 1 Pu 3.14, 2 La 3.20
Te 0.0000 0.7399 0.0001  3 Tb 3.07-3.10, 1 Pu 3.14, 2 La 3.20
Te 0.3341 0.4145 0.6682  3 Tb 3.12, 3 Pu 3.14-3.15
Tb 0.8353 0.1671 0.6705  6 Te 3.09-3.12
Te 0.3291 0.9170 0.6583  3 Tb 3.09-3.11, 2 Pu 3.15, 1 La 3.21
Tb 0.5000 0.5000 0.0000  6 Te 3.07-3.12
Te 0.6709 0.0830 0.3417  3 Tb 3.09-3.11, 2 Pu 3.15, 1 La 3.21
Te 0.6659 0.5855 0.3318  3 Tb 3.12, 3 Pu 3.14-3.15

- formation energy from raw total energies (eV per atom) = -1.304
- density (g cm⁻³) = 8.43
- VASP energy (eV/atom) = -6.83
- spin magnetization (μB/f.u.) = 12.01

---

Record 2
DFT (GGA-PBE) results for crystalline LaTbPuTh at its relaxed geometry.

Lattice parameters (Å, degrees): 5.6463 5.6463 5.6463 60.00 60.00 60.00
With the nearest neighbours (Å) after each atom.
Fractional positions:
La 0.2500 0.2500 0.2500  4 Pu 3.46, 4 Tb 3.46
Tb 0.0000 0.0000 0.0000  4 Th 3.46, 4 La 3.46
Th 0.7500 0.7500 0.7500  4 Pu 3.46, 4 Tb 3.46
Pu 0.5000 0.5000 0.5000  4 La 3.46, 4 Th 3.46

- energy of formation (eV per atom) = 0.210
- density (g cm⁻³) = 10.10
- VASP energy (eV/atom) = -7.62
- spin magnetization (μB/f.u.) = 8.01

---

Record 3
DFT (GGA-PBE) results for crystalline La2Tb3Y6Pu at its relaxed geometry.

Lattice parameters (Å, degrees): 6.2115 6.2115 11.8306 95.04 95.04 120.06
With the nearest neighbours (Å) after each atom.
Fractional positions:
Y 0.4122 0.0835 0.2518  6 Y 3.53-3.61, 3 Tb 3.55-3.57, 1 Pu 3.57, 2 La 3.60
Y 0.7549 0.7549 0.2519  6 Y 3.53-3.61, 3 Tb 3.55-3.57, 1 Pu 3.58, 2 La 3.60
Pu 0.0000 0.0000 0.0000  6 Y 3.57-3.58, 6 La 3.58-3.59
Y 0.2451 0.2451 0.7481  6 Y 3.53-3.61, 3 Tb 3.55-3.57, 1 Pu 3.58, 2 La 3.60
Tb 0.8333 0.1667 0.5000  6 Y 3.55-3.57, 6 Tb 3.58-3.59
Y 0.9165 0.5878 0.7482  6 Y 3.53-3.61, 3 Tb 3.55-3.57, 1 Pu 3.57, 2 La 3.60
Tb 0.5000 0.5000 0.5000  6 Y 3.55-3.57, 6 Tb 3.58-3.59
La 0.6665 0.3335 0.0000  3 La 3.58-3.59, 3 Pu 3.58-3.59, 6 Y 3.60
Y 0.5878 0.9165 0.7482  6 Y 3.53-3.61, 3 Tb 3.55-3.57, 1 Pu 3.57, 2 La 3.60
La 0.3335 0.6665 0.0000  3 La 3.58-3.59, 3 Pu 3.58-3.59, 6 Y 3.60
Y 0.0835 0.4122 0.2518  6 Y 3.53-3.61, 3 Tb 3.55-3.57, 1 Pu 3.57, 2 La 3.60
Tb 0.1667 0.8333 0.5000  6 Y 3.55-3.57, 6 Tb 3.58-3.59

- energy of formation (eV per atom) = 0.049
- density (g cm⁻³) = 6.54
- VASP energy (eV/atom) = -6.36
- spin magnetization (μB/f.u.) = 6.34

---

Record 4
DFT (GGA-PBE) results for crystalline La2Tb6Y3Pu at its relaxed geometry.

Lattice parameters (Å, degrees): 6.2061 6.2061 11.8485 95.03 95.03 120.08
With the nearest neighbours (Å) after each atom.
Fractional positions:
Tb 0.0838 0.4122 0.2514  6 Tb 3.53-3.61, 3 Y 3.55-3.58, 1 Pu 3.57, 2 La 3.60
La 0.3335 0.6665 0.0000  3 Pu 3.58-3.59, 3 La 3.58, 6 Tb 3.60
Tb 0.7555 0.7555 0.2515  6 Tb 3.53-3.61, 3 Y 3.55-3.58, 1 Pu 3.57, 2 La 3.60
Tb 0.2445 0.2445 0.7485  6 Tb 3.53-3.61, 3 Y 3.55-3.58, 1 Pu 3.57, 2 La 3.60
Pu 0.0000 0.0000 0.0000  6 Tb 3.57, 6 La 3.58-3.59
Y 0.5000 0.5000 0.5000  6 Tb 3.55-3.58, 6 Y 3.58-3.59
Y 0.8336 0.1664 0.5000  6 Tb 3.55-3.58, 6 Y 3.58-3.59
Tb 0.5878 0.9162 0.7486  6 Tb 3.53-3.61, 3 Y 3.55-3.58, 1 Pu 3.57, 2 La 3.60
Y 0.1664 0.8336 0.5000  6 Tb 3.55-3.58, 6 Y 3.58-3.59
Tb 0.4122 0.0838 0.2514  6 Tb 3.53-3.61, 3 Y 3.55-3.58, 1 Pu 3.57, 2 La 3.60
La 0.6665 0.3335 0.0000  3 Pu 3.58-3.59, 3 La 3.58, 6 Tb 3.60
Tb 0.9162 0.5878 0.7486  6 Tb 3.53-3.61, 3 Y 3.55-3.58, 1 Pu 3.57, 2 La 3.60

- energy of formation (eV per atom) = 0.050
- density (g cm⁻³) = 7.44
- VASP energy (eV/atom) = -5.90
- spin magnetization (μB/f.u.) = 6.34

---

Record 5
DFT (GGA-PBE) results for crystalline LaTbYPu at its relaxed geometry.

Lattice parameters (Å, degrees): 5.6749 5.6749 5.6749 60.00 60.00 60.00
With the nearest neighbours (Å) after each atom.
Fractional positions:
Y 0.2500 0.2500 0.2500  4 Tb 3.48, 4 La 3.48
La 0.0000 0.0000 0.0000  4 Pu 3.48, 4 Y 3.48
Tb 0.5000 0.5000 0.5000  4 Pu 3.48, 4 Y 3.48
Pu 0.7500 0.7500 0.7500  4 Tb 3.48, 4 La 3.48

- energy of formation (eV per atom) = 0.206
- density (g cm⁻³) = 8.10
- VASP energy (eV/atom) = -7.38
- spin magnetization (μB/f.u.) = 7.55

---

Record 6
DFT (GGA-PBE) results for crystalline LaPuTc4 at its relaxed geometry.

Lattice parameters (Å, degrees): 5.4433 5.4433 5.4433 60.00 60.00 60.00
With the nearest neighbours (Å) after each atom.
Fractional positions:
Tc 0.6253 0.1241 0.6253  6 Tc 2.72-2.73
Pu 0.0000 0.0000 0.0000  12 Tc 3.19, 4 La 3.33
Tc 0.6253 0.6253 0.6253  6 Tc 2.72-2.73
La 0.2500 0.2500 0.2500  12 Tc 3.19, 4 Pu 3.33
Tc 0.1241 0.6253 0.6253  6 Tc 2.72-2.73
Tc 0.6253 0.6253 0.1241  6 Tc 2.72-2.73

- energy of formation (eV per atom) = 0.096
- density (g cm⁻³) = 11.28
- VASP energy (eV/atom) = -10.02
- spin magnetization (μB/f.u.) = 5.55

---

Record 7
DFT (GGA-PBE) results for crystalline LaPu3Tc3 at its relaxed geometry.

Lattice parameters (Å, degrees): 7.1330 7.1330 7.1330 90.00 90.00 90.00
With the nearest neighbours (Å) after each atom.
Fractional positions:
Tc 0.5000 0.0000 0.7500  4 Pu 2.52
Tc 0.7500 0.5000 0.0000  4 Pu 2.52
Pu 0.5000 0.2500 0.0000  4 Tc 2.52
La 0.5000 0.5000 0.5000  12 Tc 3.99, 12 Pu 3.99
Tc 0.2500 0.5000 0.0000  4 Pu 2.52
Pu 0.0000 0.5000 0.2500  4 Tc 2.52
Tc 0.0000 0.7500 0.5000  4 Pu 2.52
Pu 0.2500 0.0000 0.5000  4 Tc 2.52
Pu 0.7500 0.0000 0.5000  4 Tc 2.52
Pu 0.5000 0.7500 0.0000  4 Tc 2.52
Tc 0.0000 0.2500 0.5000  4 Pu 2.52
Tc 0.5000 0.0000 0.2500  4 Pu 2.52
Pu 0.0000 0.5000 0.7500  4 Tc 2.52
La 0.0000 0.0000 0.0000  12 Pu 3.99, 12 Tc 3.99

- energy of formation (eV per atom) = 0.619
- density (g cm⁻³) = 10.66
- VASP energy (eV/atom) = -10.67
- spin magnetization (μB/f.u.) = 12.37

---

Record 8
DFT (GGA-PBE) results for crystalline La3PuTc at its relaxed geometry.

Lattice parameters (Å, degrees): 5.5606 5.5606 5.5606 90.00 90.00 90.00
With the nearest neighbours (Å) after each atom.
Fractional positions:
La 0.0000 0.5000 0.0000  2 Tc 2.78
La 0.0000 0.0000 0.5000  2 Tc 2.78
La 0.5000 0.0000 0.0000  2 Tc 2.78
Tc 0.0000 0.0000 0.0000  6 La 2.78
Pu 0.5000 0.5000 0.5000  12 La 3.93

- energy of formation (eV per atom) = 0.227
- density (g cm⁻³) = 7.33
- VASP energy (eV/atom) = -7.67
- spin magnetization (μB/f.u.) = 6.69